Entry 1:
{
  "formula": "MgScTe3",
  "functional": "GGA-PBE",
  "state": "optimized geometry",
  "e_form_raw_ev_per_atom": -0.279,
  "dos_at_fermi_per_ev_atom": 0.815,
  "relative_energy_mev_per_atom": 557,
  "space_group": "No. 221",
  "cell": [[-4.126, -3.386, 1.499], [2.962, -4.365, -1.707], [2.222, -0.469, 5.057]],
  "species": ["Sc", "Mg", "Te", "Te", "Te"],
  "frac_coords": [[0.000, 0.000, 0.000], [0.500, 0.500, 0.500], [0.000, 0.500, 0.000], [0.000, 0.000, 0.500], [0.500, 0.000, 0.000]]
}



Entry 2:
{
  "formula": "Pm6Al2Hg",
  "functional": "GGA-PBE",
  "state": "optimized geometry",
  "e_form_ev_per_fu": -2.21,
  "dos_at_fermi_per_ev_atom": 1.130,
  "relative_energy_mev_per_atom": 0,
  "space_group": "No. 71",
  "cell": [[8.326, 0.056, -3.124], [-4.333, 7.345, -2.520], [-0.174, -0.056, 8.891]],
  "species": ["Pm", "Pm", "Pm", "Pm", "Pm", "Pm", "Pm", "Pm", "Pm", "Pm", "Pm", "Pm", "Al", "Al", "Al", "Al", "Hg", "Hg"],
  "frac_coords": [[0.550, 0.729, 0.821], [0.450, 0.271, 0.179], [0.092, 0.271, 0.821], [0.908, 0.729, 0.179], [0.800, 0.751, 0.551], [0.200, 0.249, 0.449], [0.200, 0.751, 0.951], [0.800, 0.249, 0.049], [0.713, 0.389, 0.676], [0.287, 0.611, 0.324], [0.287, 0.962, 0.676], [0.713, 0.038, 0.324], [0.500, 0.377, 0.877], [0.500, 0.623, 0.123], [0.637, 0.000, 0.637], [0.363, 0.000, 0.363], [0.000, 0.500, 0.500], [0.000, 0.000, 0.000]]
}



Entry 3:
{
  "formula": "Ti2Zn3Rh4",
  "functional": "GGA-PBE",
  "state": "optimized geometry",
  "e_form_ev_per_fu": -5.73,
  "dos_at_fermi_per_ev_atom": 0.315,
  "space_group": "No. 164",
  "cell": [[-0.132, 1.106, 4.126], [1.048, -2.849, 3.010], [7.770, 2.428, -0.402]],
  "species": ["Ti", "Ti", "Zn", "Zn", "Zn", "Rh", "Rh", "Rh", "Rh"],
  "frac_coords": [[0.333, 0.334, 0.784], [0.667, 0.666, 0.216], [0.333, 0.333, 0.442], [0.000, 0.000, 0.000], [0.667, 0.667, 0.558], [0.667, 0.667, 0.891], [0.000, 0.000, 0.326], [0.000, 0.000, 0.674], [0.333, 0.333, 0.109]]
}



Entry 4:
{
  "formula": "La8CS3Cl4",
  "functional": "GGA-PBE",
  "state": "optimized geometry",
  "e_form_raw_ev_per_atom": -1.679,
  "dos_at_fermi_per_ev_atom": 0.570,
  "space_group": "No. 166",
  "cell": [[8.221, 0.000, 0.000], [0.000, 8.374, 0.103], [-4.110, -4.107, 5.816]],
  "species": ["La", "La", "La", "La", "La", "La", "La", "La", "C", "S", "S", "S", "Cl", "Cl", "Cl", "Cl"],
  "frac_coords": [[0.226, 0.714, 0.988], [0.226, 0.714, 0.452], [0.257, 0.272, 0.515], [0.762, 0.714, 0.988], [0.238, 0.286, 0.012], [0.743, 0.728, 0.485], [0.774, 0.286, 0.548], [0.774, 0.286, 0.012], [0.000, 0.500, 0.000], [0.500, 0.500, 0.000], [0.500, 0.500, 0.500], [0.000, 0.500, 0.500], [0.500, 0.000, 0.000], [0.500, 0.000, 0.500], [0.000, 0.000, 0.000], [0.000, 0.000, 0.500]]
}



Entry 5:
{
  "formula": "Th4CoBi2",
  "functional": "GGA-PBE",
  "state": "optimized geometry",
  "e_form_ev_per_fu": -2.46,
  "dos_at_fermi_per_ev_atom": 1.047,
  "relative_energy_mev_per_atom": 33,
  "space_group": "No. 11",
  "cell": [[-4.006, -4.352, -3.273], [4.529, -0.500, -4.880], [6.119, -4.694, 6.160]],
  "species": ["Th", "Th", "Th", "Th", "Th", "Th", "Th", "Th", "Co", "Co", "Bi", "Bi", "Bi", "Bi"],
  "frac_coords": [[0.491, 0.485, 0.245], [0.084, 0.750, 0.891], [0.916, 0.250, 0.109], [0.491, 0.015, 0.245], [0.869, 0.250, 0.585], [0.509, 0.985, 0.755], [0.509, 0.515, 0.755], [0.131, 0.750, 0.415], [0.172, 0.750, 0.169], [0.828, 0.250, 0.831], [0.745, 0.750, 0.073], [0.255, 0.250, 0.927], [0.258, 0.250, 0.450], [0.742, 0.750, 0.550]]
}



Entry 6:
{
  "formula": "LiErMg2S4",
  "functional": "GGA-PBE",
  "state": "optimized geometry",
  "e_form_raw_ev_per_atom": -1.622,
  "dos_at_fermi_per_ev_atom": 0.000,
  "space_group": "No. 10",
  "cell": [[-0.247, 3.793, 0.152], [-3.585, -0.448, 5.340], [6.240, 0.337, 1.739]],
  "species": ["Li", "Er", "Mg", "Mg", "S", "S", "S", "S"],
  "frac_coords": [[0.500, 0.500, 0.000], [0.000, 0.000, 0.000], [0.500, 0.000, 0.500], [0.000, 0.500, 0.500], [0.500, 0.256, 0.254], [0.500, 0.744, 0.746], [0.000, 0.246, 0.736], [0.000, 0.754, 0.264]]
}



| no. | M_tot (μB/f.u.) |
| --- | --- |
| 1 | 0.0 |
| 2 | 0.0 |
| 3 | 0.0 |
| 4 | 0.0 |
| 5 | 0.0 |
| 6 | 0.0 |